Entry 1:
# Na2TlGa2

A relaxed Na2TlGa2 crystal (PBE, the Alexandria database).

Symmetry: I4/mmm
VASP energy (eV for the cell shown): -10.65
ΔE to the lowest computed polymorph (eV per atom): 0.113
Formation energy (meV/atom): 81

Cell: 4.290 4.290 7.626 Å, 73.66 73.66 90.00°
Element x y z (fractional)
Ga: 0.591 0.591 0.818
Na: 0.750 0.250 0.500
Ga: 0.409 0.409 0.182
Na: 0.250 0.750 0.500
Tl: 0.000 0.000 0.000

***

Entry 2:
# FePt2C

A relaxed FePt2C crystal (PBE, the Alexandria database).

Symmetry: I-42d
VASP energy (eV for the cell shown): -54.20
Formation energy (meV/atom): 667

Cell: 7.401 7.401 5.592 Å, 48.57 48.57 90.00°
Element x y z (fractional)
Pt: 0.375 0.507 0.750
Fe: 0.000 0.000 0.000
Pt: 0.493 0.125 0.250
C: 0.500 0.500 0.000
Pt: 0.875 0.743 0.750
Fe: 0.750 0.250 0.500
Pt: 0.257 0.625 0.250
C: 0.250 0.750 0.500

***

Entry 3:
# Tb2AgAu2

A relaxed Tb2AgAu2 crystal (PBE, the Alexandria database).

Symmetry: P4/mbm
VASP energy (eV for the cell shown): -44.24
Formation energy (meV/atom): -691

Cell: 3.741 7.917 7.917 Å, 90.00 90.00 90.00°
Element x y z (fractional)
Tb: 0.500 0.670 0.830
Ag: 0.000 0.500 0.500
Au: 0.000 0.370 0.870
Tb: 0.500 0.170 0.670
Au: 0.000 0.630 0.130
Tb: 0.500 0.830 0.330
Tb: 0.500 0.330 0.170
Ag: 0.000 0.000 0.000
Au: 0.000 0.870 0.630
Au: 0.000 0.130 0.370

***

formation energy of number 1 (Na2TlGa2)? 81 meV/atom